4
Lattice="0.240 0.059 5.030 -4.236 0.022 2.723 -1.322 -4.084 2.632" Properties=species:S:1:pos:R:3 comment="TlSi2Sb (PBE, relaxed)" total_energy_ev_per_cell=-14.8 relative_energy_ev_per_fu=1.54 formation_energy_uncorrected_ev_per_atom=0.622 n_ef_per_ev_cell=2.9 vol_a3_per_cell=90.3 crystal_system=cubic pbc="T T T"
Si -3.989 -3.003 7.789
Si -1.330 -1.001 2.596
Sb 0.000 0.000 0.000
Tl -2.659 -2.002 5.192